## Tm2Fe3Ge5 (GGA-PBE)

Data for a relaxed structure of Tm2Fe3Ge5.

```
Tm2Fe3Ge5
1.0
-5.358 1.491 -0.160
-3.869 -2.813 6.622
-1.313 6.215 5.137
Tm Fe Ge
4 6 10
Direct
0.145 0.585 0.126
0.645 0.126 0.585
0.855 0.415 0.874
0.355 0.874 0.415
0.353 0.558 0.736
0.853 0.736 0.558
0.647 0.442 0.264
0.147 0.264 0.442
0.250 0.000 0.000
0.750 0.000 0.000
0.416 0.263 0.905
0.916 0.905 0.263
0.584 0.737 0.095
0.084 0.095 0.737
0.459 0.791 0.791
0.541 0.209 0.209
0.750 0.500 0.500
0.250 0.500 0.500
0.041 0.209 0.209
0.959 0.791 0.791
```

Calculated values
Space group = No. 72
Formation enthalpy at 0 K = -466 meV/atom


## TmFe3Ge3 (GGA-PBE)

Data for a relaxed structure of TmFe3Ge3.

```
TmFe3Ge3
1.0
4.041 0.000 0.000
0.000 8.086 0.000
0.000 -4.043 7.003
Tm Fe Ge
2 6 6
Direct
0.250 0.667 0.333
0.750 0.333 0.667
0.750 0.144 0.942
0.750 0.798 0.856
0.250 0.942 0.798
0.750 0.058 0.202
0.250 0.202 0.144
0.250 0.856 0.058
0.750 0.388 0.291
0.750 0.903 0.612
0.250 0.291 0.903
0.750 0.709 0.097
0.250 0.097 0.388
0.250 0.612 0.709
```

Calculated values
Space group = No. 176
Offset from the most stable computed form = 0.000 eV/f.u.
Formation enthalpy at 0 K = -242 meV/atom


## Tm2FeGe3 (GGA-PBE)

Data for a relaxed structure of Tm2FeGe3.

```
Tm2FeGe3
1.0
-3.850 1.418 1.019
-1.693 -1.831 4.920
0.257 4.570 3.383
Tm Fe Ge
2 1 3
Direct
0.545 0.190 0.719
0.430 0.824 0.316
0.170 0.390 0.270
0.886 0.584 0.644
0.795 0.269 0.140
0.174 0.743 0.910
```

Calculated values
Space group = No. 8
Formation enthalpy at 0 K = -535 meV/atom


## TmFe2Ge2 (GGA-PBE)

Data for a relaxed structure of TmFe2Ge2.

```
TmFe2Ge2
1.0
5.768 -0.026 0.000
3.078 4.879 0.000
-4.423 -2.426 2.797
Tm Fe Ge
1 2 2
Direct
0.000 0.000 0.000
0.750 0.250 0.500
0.250 0.750 0.500
0.627 0.627 0.000
0.373 0.373 0.000
```

Calculated values
Space group = No. 139
Formation enthalpy at 0 K = -443 meV/atom


## TmFeGe2 (GGA-PBE)

Data for a relaxed structure of TmFeGe2.

```
TmFeGe2
1.0
-0.677 3.947 0.584
-2.618 1.976 -2.370
-4.725 0.893 2.510
Ge Tm Fe
2 1 1
Direct
0.781 0.781 0.657
0.219 0.219 0.343
0.000 0.000 0.000
0.500 0.500 0.500
```

Calculated values
Space group = No. 166
Formation enthalpy at 0 K = -444 meV/atom


## Tm4FeGe8 (GGA-PBE)

Data for a relaxed structure of Tm4FeGe8.

```
Tm4FeGe8
1.0
3.989 0.000 0.000
0.000 4.103 0.000
0.000 0.000 15.672
Tm Fe Ge
4 1 8
Direct
0.000 0.000 0.099
0.000 0.500 0.606
0.500 0.500 0.397
0.500 0.000 0.897
0.000 0.000 0.309
0.000 0.000 0.457
0.000 0.500 0.942
0.500 0.500 0.054
0.500 0.000 0.564
0.000 0.500 0.239
0.000 0.000 0.749
0.500 0.000 0.236
0.500 0.500 0.754
```

Calculated values
Space group = No. 25
Formation enthalpy at 0 K = -563 meV/atom


## TmFe5Ge2 (GGA-PBE)

Data for a relaxed structure of TmFe5Ge2.

```
TmFe5Ge2
1.0
3.485 0.000 0.000
1.743 5.871 0.297
1.743 1.370 5.716
Tm Fe Ge
1 5 2
Direct
0.000 0.000 0.000
0.000 0.500 0.500
0.638 0.546 0.179
0.362 0.454 0.821
0.362 0.821 0.454
0.638 0.179 0.546
0.740 0.760 0.760
0.260 0.240 0.240
```

Calculated values
Space group = No. 71
Formation enthalpy at 0 K = -186 meV/atom


## TmFe3Ge3 (GGA-PBE)

Data for a relaxed structure of TmFe3Ge3.

```
TmFe3Ge3
1.0
-3.857 2.508 -6.548
-7.808 1.725 0.373
-2.445 7.599 -0.537
Tm Fe Ge
2 6 6
Direct
0.250 0.250 0.250
0.750 0.750 0.750
0.142 0.858 0.858
0.142 0.858 0.142
0.142 0.142 0.858
0.858 0.142 0.858
0.858 0.142 0.142
0.858 0.858 0.142
0.339 0.661 0.339
0.339 0.661 0.661
0.339 0.339 0.661
0.661 0.339 0.661
0.661 0.339 0.339
0.661 0.661 0.339
```

Calculated values
Space group = No. 225
Offset from the most stable computed form = 7.854 eV/f.u.
Formation enthalpy at 0 K = 880 meV/atom